Record 1
Entry from the Alexandria database: an optimized crystal structure of Tl2GeI4 (PBE).

Values from the calculation:
The calculation puts the calculated volume at 41.278 A^3/atom. The relative energy among the computed polymorphs is 0 meV per atom. As for the formation energy (no corrections): -0.48 eV/atom.

Structure (CIF):
```
data_Tl2GeI4
_chemical_formula_sum 'Tl2 Ge1 I4'
_cell_length_a 7.948
_cell_length_b 7.948
_cell_length_c 9.534
_cell_angle_alpha 117.25
_cell_angle_beta 117.25
_cell_angle_gamma 33.09
_space_group_name_H-M_alt 'P 1'
_space_group_IT_number 1
loop_
_space_group_symop_operation_xyz
'x,y,z'
loop_
_atom_site_label
_atom_site_type_symbol
_atom_site_fract_x
_atom_site_fract_y
_atom_site_fract_z
Tl1 Tl 0.190 0.190 0.169
Tl2 Tl 0.810 0.810 0.831
Ge1 Ge 0.500 0.500 0.500
I1 I 0.141 0.141 0.522
I2 I 0.409 0.409 0.140
I3 I 0.591 0.591 0.860
I4 I 0.859 0.859 0.478
```

***

Record 2
Entry from the Alexandria database: an optimized crystal structure of TiMnPb (PBE).

Values from the calculation:
The calculation puts the calculated volume at 20.601 A^3/atom. Its total DFT energy (no corrections) is -0.5039 Ry/atom.

Structure (CIF):
```
data_TiMnPb
_chemical_formula_sum 'Ti2 Mn2 Pb2'
_cell_length_a 3.361
_cell_length_b 3.557
_cell_length_c 10.471
_cell_angle_alpha 90.88
_cell_angle_beta 99.00
_cell_angle_gamma 90.00
_space_group_name_H-M_alt 'P 1'
_space_group_IT_number 1
loop_
_space_group_symop_operation_xyz
'x,y,z'
loop_
_atom_site_label
_atom_site_type_symbol
_atom_site_fract_x
_atom_site_fract_y
_atom_site_fract_z
Ti1 Ti 0.183 0.493 0.362
Ti2 Ti 0.817 0.507 0.638
Mn1 Mn 0.281 0.002 0.564
Mn2 Mn 0.719 0.998 0.436
Pb1 Pb 0.414 0.018 0.839
Pb2 Pb 0.586 0.982 0.161
```

***

Record 3
Entry from the Alexandria database: an optimized crystal structure of Y3SCl (PBE).

Values from the calculation:
The calculation puts the calculated volume at 29.136 A^3/atom. The relative energy among the computed polymorphs is 0 meV per atom. As for the formation energy (no corrections): -0.56 eV/atom.

Structure (CIF):
```
data_Y3SCl
_chemical_formula_sum 'Y3 S1 Cl1'
_cell_length_a 5.262
_cell_length_b 5.262
_cell_length_c 5.262
_cell_angle_alpha 90.00
_cell_angle_beta 90.00
_cell_angle_gamma 90.00
_space_group_name_H-M_alt 'P 1'
_space_group_IT_number 1
loop_
_space_group_symop_operation_xyz
'x,y,z'
loop_
_atom_site_label
_atom_site_type_symbol
_atom_site_fract_x
_atom_site_fract_y
_atom_site_fract_z
Y1 Y 0.000 0.000 0.500
Y2 Y 0.000 0.500 0.000
Y3 Y 0.500 0.000 0.000
S1 S 0.000 0.000 0.000
Cl1 Cl 0.500 0.500 0.500
```

***

Record 4
Entry from the Alexandria database: an optimized crystal structure of Sr2RePt (PBE).

Values from the calculation:
The calculation puts the calculated volume at 25.089 A^3/atom. The relative energy among the computed polymorphs is 468 meV per atom.

Structure (CIF):
```
data_Sr2RePt
_chemical_formula_sum 'Sr2 Re1 Pt1'
_cell_length_a 5.467
_cell_length_b 5.467
_cell_length_c 3.357
_cell_angle_alpha 90.00
_cell_angle_beta 90.00
_cell_angle_gamma 90.00
_space_group_name_H-M_alt 'P 1'
_space_group_IT_number 1
loop_
_space_group_symop_operation_xyz
'x,y,z'
loop_
_atom_site_label
_atom_site_type_symbol
_atom_site_fract_x
_atom_site_fract_y
_atom_site_fract_z
Sr1 Sr 0.000 0.500 0.000
Sr2 Sr 0.500 0.000 0.000
Re1 Re 0.000 0.000 0.500
Pt1 Pt 0.500 0.500 0.500
```

***

Record 5
Entry from the Alexandria database: an optimized crystal structure of Sm12Pd6Ru (PBE).

Values from the calculation:
The calculation puts the calculated volume at 29.583 A^3/atom. Its total DFT energy (no corrections) is -0.4094 Ry/atom.

Structure (CIF):
```
data_Sm12Pd6Ru
_chemical_formula_sum 'Sm12 Pd6 Ru1'
_cell_length_a 8.345
_cell_length_b 8.345
_cell_length_c 8.345
_cell_angle_alpha 98.06
_cell_angle_beta 98.06
_cell_angle_gamma 98.06
_space_group_name_H-M_alt 'P 1'
_space_group_IT_number 1
loop_
_space_group_symop_operation_xyz
'x,y,z'
loop_
_atom_site_label
_atom_site_type_symbol
_atom_site_fract_x
_atom_site_fract_y
_atom_site_fract_z
Sm1 Sm 0.038 0.924 0.681
Sm2 Sm 0.076 0.319 0.962
Sm3 Sm 0.183 0.578 0.417
Sm4 Sm 0.319 0.962 0.076
Sm5 Sm 0.417 0.183 0.578
Sm6 Sm 0.422 0.583 0.817
Sm7 Sm 0.578 0.417 0.183
Sm8 Sm 0.583 0.817 0.422
Sm9 Sm 0.681 0.038 0.924
Sm10 Sm 0.817 0.422 0.583
Sm11 Sm 0.924 0.681 0.038
Sm12 Sm 0.962 0.076 0.319
Pd1 Pd 0.129 0.312 0.621
Pd2 Pd 0.312 0.621 0.129
Pd3 Pd 0.379 0.871 0.688
Pd4 Pd 0.621 0.129 0.312
Pd5 Pd 0.688 0.379 0.871
Pd6 Pd 0.871 0.688 0.379
Ru1 Ru 0.000 0.000 0.000
```

***

Record 6
Entry from the Alexandria database: an optimized crystal structure of EuTmTlPb (PBE).

Values from the calculation:
The calculation puts the calculated volume at 29.169 A^3/atom. Its total DFT energy (no corrections) is -0.4103 Ry/atom.

Structure (CIF):
```
data_EuTmTlPb
_chemical_formula_sum 'Eu1 Tm1 Tl1 Pb1'
_cell_length_a 5.485
_cell_length_b 5.485
_cell_length_c 5.485
_cell_angle_alpha 60.00
_cell_angle_beta 60.00
_cell_angle_gamma 60.00
_space_group_name_H-M_alt 'P 1'
_space_group_IT_number 1
loop_
_space_group_symop_operation_xyz
'x,y,z'
loop_
_atom_site_label
_atom_site_type_symbol
_atom_site_fract_x
_atom_site_fract_y
_atom_site_fract_z
Eu1 Eu 0.000 0.000 0.000
Tm1 Tm 0.500 0.500 0.500
Tl1 Tl 0.250 0.250 0.250
Pb1 Pb 0.750 0.750 0.750
```

***

Record 7
Entry from the Alexandria database: an optimized crystal structure of CdMoPS2 (PBE).

Values from the calculation:
The calculation puts the calculated volume at 23.754 A^3/atom. The relative energy among the computed polymorphs is 1183 meV per atom. As for the formation energy (no corrections): 1.34 eV/atom.

Structure (CIF):
```
data_CdMoPS2
_chemical_formula_sum 'Cd1 Mo1 P1 S2'
_cell_length_a 4.932
_cell_length_b 4.932
_cell_length_c 4.883
_cell_angle_alpha 90.00
_cell_angle_beta 90.00
_cell_angle_gamma 90.00
_space_group_name_H-M_alt 'P 1'
_space_group_IT_number 1
loop_
_space_group_symop_operation_xyz
'x,y,z'
loop_
_atom_site_label
_atom_site_type_symbol
_atom_site_fract_x
_atom_site_fract_y
_atom_site_fract_z
Cd1 Cd 0.000 0.000 0.000
Mo1 Mo 0.500 0.500 0.500
P1 P 0.000 0.000 0.500
S1 S 0.000 0.500 0.000
S2 S 0.500 0.000 0.000
```

***

Record 8
Entry from the Alexandria database: an optimized crystal structure of SiAg2HSe4 (PBE).

Values from the calculation:
The calculation puts the calculated volume at 24.019 A^3/atom. Its total DFT energy (no corrections) is -0.2723 Ry/atom.

Structure (CIF):
```
data_SiAg2HSe4
_chemical_formula_sum 'Si1 Ag2 H1 Se4'
_cell_length_a 5.760
_cell_length_b 5.761
_cell_length_c 7.058
_cell_angle_alpha 113.84
_cell_angle_beta 113.66
_cell_angle_gamma 90.45
_space_group_name_H-M_alt 'P 1'
_space_group_IT_number 1
loop_
_space_group_symop_operation_xyz
'x,y,z'
loop_
_atom_site_label
_atom_site_type_symbol
_atom_site_fract_x
_atom_site_fract_y
_atom_site_fract_z
Si1 Si 0.000 0.000 0.000
Ag1 Ag 0.280 0.810 0.549
Ag2 Ag 0.465 0.529 0.004
H1 H 0.790 0.236 0.340
Se1 Se 0.061 0.145 0.763
Se2 Se 0.363 0.951 0.263
Se3 Se 0.671 0.645 0.770
Se4 Se 0.886 0.369 0.233
```

***

- The lowest calculated volume belongs to which entry?
  TiMnPb

***

- Number 5 is which compound?
  Sm12Pd6Ru

***

- calculated volume of number 3 (Y3SCl)?
  29.136 A^3/atom

***

- Which formula does entry 3 have?
  Y3SCl